[1]
DFT (GGA-PBE) results for a relaxed Rb2HgPdBr6 crystal.

POSCAR file:
```
Rb2HgPdBr6
1.0
5.384 0.000 0.000
0.000 5.384 0.000
0.000 0.000 14.191
Pd Br Rb Hg
1 6 2 1
Cartesian
0.000 0.000 7.095
2.692 2.692 0.000
2.692 0.000 1.757
0.000 2.692 1.757
2.692 0.000 12.434
2.692 2.692 7.095
0.000 2.692 12.434
2.692 2.692 3.787
2.692 2.692 10.403
0.000 0.000 0.000
```

[2]
DFT (GGA-PBE) results for a relaxed Tl2Hg2PdBr8 crystal.

POSCAR file:
```
Tl2Hg2PdBr8
1.0
5.965 -3.604 0.000
5.965 3.604 0.000
-3.103 0.000 9.770
Tl Br Hg Pd
2 8 2 1
Cartesian
4.590 0.000 8.213
4.237 0.000 1.556
6.186 0.000 4.861
1.617 1.873 8.523
7.210 -1.873 1.247
7.210 1.873 1.247
1.617 -1.873 8.523
9.970 0.000 2.969
-1.143 0.000 6.801
2.641 0.000 4.909
8.470 0.000 5.858
0.357 0.000 3.912
0.000 0.000 0.000
```

[3]
DFT (GGA-PBE) results for a relaxed RbHg2Br5 crystal.

POSCAR file:
```
RbHg2Br5
1.0
-1.241 -3.555 -7.575
-3.949 -4.182 2.610
-7.746 8.021 1.133
Hg Br Rb
4 10 2
Cartesian
-2.664 -1.542 -2.679
-5.765 2.132 -1.484
-7.171 -1.849 -2.348
-10.272 1.825 -1.153
-4.361 2.122 0.625
-8.576 -1.839 -4.457
-10.040 2.978 1.046
-2.896 -2.695 -4.878
-7.785 3.440 -2.445
-5.151 -3.157 -1.387
-5.138 0.322 -3.436
-7.798 -0.039 -0.397
-11.019 1.111 -3.427
-1.917 -0.828 -0.406
-4.964 -1.220 1.999
-7.972 1.503 -5.831
```

DFT total energy values, unit Ry/atom, following the record order: -0.14203, -0.17509, -0.14824.